Computed, not measured: an optimized crystal structure of CaHo2Cu6 at the PBE-GGA level of DFT.

SG	P6/mmm (191)
E_tot	-4.176	eV/atom

Lattice parameters (Å, degrees): 3.6166 7.3175 7.3175 120.00 90.00 90.00
Closest atoms and distances in Å follow each position.
Atoms (fractional coordinates):
Cu: 0.5000 0.3353 0.0000  3 Cu 2.41-2.45
Cu: 0.5000 0.3353 0.3353  3 Cu 2.41-2.45
Cu: 0.5000 0.0000 0.6647  3 Cu 2.41-2.45
Cu: 0.5000 0.6647 0.6647  3 Cu 2.41-2.45
Cu: 0.5000 0.6647 0.0000  3 Cu 2.41-2.45
Cu: 0.5000 0.0000 0.3353  3 Cu 2.41-2.45
Ho: 0.0000 0.3333 0.6667  12 Cu 3.03
Ho: 0.0000 0.6667 0.3333  12 Cu 3.03
Ca: 0.0000 0.0000 0.0000  12 Cu 3.05